No. 1
This record from Alexandria describes SiH2Ir after structural relaxation. The functional is PBE-GGA.

Total moment (μB per cell): 0.0
DOS(E_F) (states/eV/f.u.): 0.995
Energy above the most stable polymorph in this dataset (eV per formula unit): 0.000

a = 3.5020 Å, b = 3.5020 Å, c = 7.0790 Å
α = 75.68°, β = 75.68°, γ = 90.00°
Last column: nearest neighbours and their distance in Å.
Element x y z (fractional)
H1 0.3750 0.1248 0.7500  2 H 1.75, 2 Ir 1.87
H2 0.8748 0.6250 0.2500  2 H 1.75, 2 Ir 1.87
H3 0.8750 0.1252 0.7500  2 H 1.75, 2 Ir 1.87
Ir1 0.0000 0.0000 0.0000  4 H 1.87
Si1 0.5000 0.5000 0.0000  4 Ir 2.48, 8 H 2.56-2.57
Si2 0.2500 0.7500 0.5000  4 Ir 2.48, 8 H 2.56-2.57
H4 0.8752 0.1250 0.2500  2 H 1.75, 2 Ir 1.87
Ir2 0.7500 0.2500 0.5000  4 H 1.87

---

No. 2
This record from Alexandria describes Y3Er2Tm3 after structural relaxation. The functional is PBE-GGA.

Total moment (μB per cell): 6.9
DOS(E_F) (states/eV/f.u.): 14.039
Energy above the most stable polymorph in this dataset (eV per formula unit): 1.160
Calculated formation energy (eV per atom): 0.248

a = 6.3952 Å, b = 6.3952 Å, c = 6.3952 Å
α = 89.93°, β = 89.93°, γ = 90.07°
Last column: nearest neighbours and their distance in Å.
Element x y z (fractional)
Y1 0.0000 0.2513 0.2513  2 Tm 3.20, 2 Er 3.56
Tm1 0.2508 0.7492 0.5000  2 Y 3.20, 2 Er 3.55
Tm2 0.7492 0.5000 0.7492  2 Y 3.20, 2 Er 3.55
Y2 0.2513 0.7487 0.0000  2 Tm 3.20, 2 Er 3.56
Y3 0.7487 0.0000 0.7487  2 Tm 3.20, 2 Er 3.56
Tm3 0.5000 0.2508 0.2508  2 Y 3.20, 2 Er 3.55
Er1 0.7481 0.7481 0.2519  6 Tm 3.55-3.59, 6 Y 3.56-3.60
Er2 0.2519 0.2519 0.7481  6 Tm 3.55-3.59, 6 Y 3.56-3.60

---

No. 3
This record from Alexandria describes In14SnSb after structural relaxation. The functional is PBE-GGA.

Total moment (μB per cell): 0.0
DOS(E_F) (states/eV/f.u.): 5.342
Formation energy without anion corrections (eV/atom): 0.023

a = 6.6395 Å, b = 6.6395 Å, c = 10.9365 Å
α = 90.00°, β = 90.00°, γ = 114.85°
Last column: nearest neighbours and their distance in Å.
Element x y z (fractional)
In1 0.6850 0.3150 0.0000  12 In 3.31-3.57
In2 0.3708 0.6292 0.2468  11 In 3.30-3.58, 1 Sb 3.55
In3 0.5616 0.9299 0.5000  2 Sn 3.29-3.35, 2 Sb 3.30-3.34, 8 In 3.34-3.64
In4 0.1835 0.3093 0.0000  12 In 3.30-3.63
In5 0.8714 0.6227 0.7495  10 In 3.30-3.62, 1 Sb 3.31, 1 Sn 3.35
In6 0.3773 0.1286 0.7495  10 In 3.30-3.62, 1 Sb 3.31, 1 Sn 3.35
In7 0.8761 0.1239 0.7513  11 In 3.31-3.58, 1 Sn 3.44
In8 0.3708 0.6292 0.7532  11 In 3.30-3.58, 1 Sb 3.55
In9 0.8761 0.1239 0.2487  11 In 3.31-3.58, 1 Sn 3.44
Sn1 0.0613 0.9387 0.5000  10 In 3.29-3.44, 2 Sb 3.58
Sb1 0.5696 0.4304 0.5000  10 In 3.30-3.55, 2 Sn 3.58
In10 0.8714 0.6227 0.2505  10 In 3.30-3.62, 1 Sb 3.31, 1 Sn 3.35
In11 0.0701 0.4384 0.5000  2 Sn 3.29-3.35, 2 Sb 3.30-3.34, 8 In 3.34-3.64
In12 0.1869 0.8131 0.0000  12 In 3.30-3.57
In13 0.3773 0.1286 0.2505  10 In 3.30-3.62, 1 Sb 3.31, 1 Sn 3.35
In14 0.6907 0.8165 0.0000  12 In 3.30-3.63

---

No. 4
This record from Alexandria describes BaMg3Mo after structural relaxation. The functional is PBE-GGA.

Total moment (μB per cell): 2.0
DOS(E_F) (states/eV/f.u.): 4.869
Energy above the most stable polymorph in this dataset (eV per formula unit): 0.000
Calculated formation energy (eV per atom): 0.543

a = 5.3624 Å, b = 5.3624 Å, c = 5.3624 Å
α = 90.00°, β = 90.00°, γ = 90.00°
Last column: nearest neighbours and their distance in Å.
Element x y z (fractional)
Ba1 0.5000 0.5000 0.5000  12 Mg 3.79
Mo1 0.0000 0.0000 0.0000  6 Mg 2.68
Mg1 0.0000 0.0000 0.5000  2 Mo 2.68
Mg2 0.5000 0.0000 0.0000  2 Mo 2.68
Mg3 0.0000 0.5000 0.0000  2 Mo 2.68

---

No. 5
This record from Alexandria describes Nd6AlSn2 after structural relaxation. The functional is PBE-GGA.

Total moment (μB per cell): 4.2
DOS(E_F) (states/eV/f.u.): 10.132
Calculated formation energy (eV per atom): -0.458

a = 4.5285 Å, b = 8.5128 Å, c = 8.5155 Å
α = 119.99°, β = 90.00°, γ = 90.00°
Last column: nearest neighbours and their distance in Å.
Element x y z (fractional)
Al1 0.5000 0.0001 0.0000  9 Nd 3.12-3.49
Sn1 0.0000 0.3333 0.6666  9 Nd 3.23-3.43
Nd1 0.5000 0.5903 0.0000  4 Sn 3.43, 1 Al 3.49, 6 Nd 3.66-3.80
Sn2 0.0000 0.6667 0.3334  9 Nd 3.23-3.43
Nd2 0.5000 0.4097 0.4097  4 Sn 3.43, 1 Al 3.49, 6 Nd 3.66-3.80
Nd3 0.0000 0.9999 0.2528  2 Al 3.13, 2 Sn 3.23-3.24
Nd4 0.5000 0.0000 0.5903  4 Sn 3.43, 1 Al 3.49, 6 Nd 3.66-3.80
Nd5 0.0000 0.7470 0.7472  2 Al 3.13, 2 Sn 3.23-3.24
Nd6 0.0000 0.2530 0.0000  2 Al 3.12, 2 Sn 3.24

---

No. 6
This record from Alexandria describes Cs2NiAgI6 after structural relaxation. The functional is PBE-GGA.

Total moment (μB per cell): 1.6
DOS(E_F) (states/eV/f.u.): 3.116
Formation energy without anion corrections (eV/atom): -0.672

a = 8.1384 Å, b = 8.1384 Å, c = 14.5077 Å
α = 73.71°, β = 73.71°, γ = 60.00°
Last column: nearest neighbours and their distance in Å.
Element x y z (fractional)
Ag1 0.4130 0.4130 0.7609  6 I 2.98-3.01
Cs1 0.8779 0.8779 0.3664  12 I 4.08-4.23
I1 0.2767 0.8042 0.1148  1 Ni 2.72, 1 Ag 3.01
Cs2 0.7061 0.7061 0.8817  12 I 4.05-4.39
Cs3 0.2939 0.2939 0.1183  12 I 4.05-4.39
I2 0.1958 0.1958 0.8852  1 Ni 2.72, 1 Ag 3.01
Ni1 0.0000 0.0000 0.0000  6 I 2.72
Ag2 0.5870 0.5870 0.2391  6 I 2.98-3.01
Cs4 0.1221 0.1221 0.6336  12 I 4.08-4.23
I3 0.6195 0.1439 0.6171  1 Ni 2.75, 1 Ag 2.98
I4 0.1439 0.6195 0.6171  1 Ni 2.75, 1 Ag 2.98
I5 0.8042 0.2767 0.1148  1 Ni 2.72, 1 Ag 3.01
I6 0.8561 0.3805 0.3829  1 Ni 2.75, 1 Ag 2.98
I7 0.3805 0.8561 0.3829  1 Ni 2.75, 1 Ag 2.98
I8 0.8042 0.8042 0.1148  1 Ni 2.72, 1 Ag 3.01
I9 0.3805 0.3805 0.3829  1 Ni 2.75, 1 Ag 2.98
I10 0.7233 0.1958 0.8852  1 Ni 2.72, 1 Ag 3.01
Ni2 0.5000 0.5000 0.5000  6 I 2.75
I11 0.6195 0.6195 0.6171  1 Ni 2.75, 1 Ag 2.98
I12 0.1958 0.7233 0.8852  1 Ni 2.72, 1 Ag 3.01

---

No. 7
This record from Alexandria describes La2TmSb3 after structural relaxation. The functional is PBE-GGA.

Total moment (μB per cell): 0.0
DOS(E_F) (states/eV/f.u.): 0.970
Energy above the most stable polymorph in this dataset (eV per formula unit): 0.000
Formation energy without anion corrections (eV/atom): -1.193

a = 7.8567 Å, b = 7.8567 Å, c = 7.8418 Å
α = 99.63°, β = 99.63°, γ = 120.01°
Last column: nearest neighbours and their distance in Å.
Element x y z (fractional)
La1 0.1696 0.8304 0.5000  6 Sb 3.22-3.28
La2 0.3333 0.6667 0.0000  6 Sb 3.21-3.22
La3 0.8333 0.1667 0.5000  6 Sb 3.20-3.28
Sb1 0.5973 0.9306 0.7634  2 Tm 3.13, 4 La 3.20-3.27
Tm1 0.6656 0.3344 0.0000  6 Sb 3.12-3.13
Sb2 0.7558 0.7468 0.2399  2 Tm 3.12-3.13, 4 La 3.22-3.28
La4 0.4971 0.5029 0.5000  6 Sb 3.22-3.28
Sb3 0.4135 0.0891 0.2399  2 Tm 3.12-3.13, 4 La 3.22-3.28
Sb4 0.9109 0.5865 0.7601  2 Tm 3.12-3.13, 4 La 3.22-3.28
Tm2 0.0010 0.9990 0.0000  6 Sb 3.12-3.13
Sb5 0.0694 0.4027 0.2366  2 Tm 3.13, 4 La 3.20-3.27
Sb6 0.2532 0.2442 0.7601  2 Tm 3.12-3.13, 4 La 3.22-3.28

---

No. 8
This record from Alexandria describes SrHf2Ir2 after structural relaxation. The functional is PBE-GGA.

Total moment (μB per cell): 0.0
DOS(E_F) (states/eV/f.u.): 4.024
Energy above the most stable polymorph in this dataset (eV per formula unit): 2.401
Calculated formation energy (eV per atom): -0.265

a = 4.4431 Å, b = 4.4431 Å, c = 6.9865 Å
α = 71.46°, β = 71.46°, γ = 90.00°
Last column: nearest neighbours and their distance in Å.
Element x y z (fractional)
Hf1 0.6385 0.6385 0.7231  4 Ir 2.62
Ir1 0.7500 0.2500 0.5000  4 Hf 2.62
Sr1 0.0000 0.0000 0.0000  8 Hf 3.59, 8 Ir 3.83
Ir2 0.2500 0.7500 0.5000  4 Hf 2.62
Hf2 0.3615 0.3615 0.2769  4 Ir 2.62

---

No. 9
This record from Alexandria describes TbPrGeS after structural relaxation. The functional is PBE-GGA.

Total moment (μB per cell): 0.0
DOS(E_F) (states/eV/f.u.): 1.512
Formation energy without anion corrections (eV/atom): -1.440

a = 4.1455 Å, b = 4.1455 Å, c = 7.2171 Å
α = 73.31°, β = 73.31°, γ = 60.00°
Last column: nearest neighbours and their distance in Å.
Element x y z (fractional)
S1 0.4479 0.4479 0.6562  3 Tb 2.88, 3 Pr 2.98
Ge1 0.9408 0.9408 0.1776  3 Tb 2.91, 3 Pr 2.98
Tb1 0.1934 0.1934 0.4197  3 S 2.88, 3 Ge 2.91
Pr1 0.6942 0.6942 0.9173  3 Ge 2.98, 3 S 2.98

---

No. 10
This record from Alexandria describes BiRuI3 after structural relaxation. The functional is PBE-GGA.

Total moment (μB per cell): 0.0
DOS(E_F) (states/eV/f.u.): 4.322
Energy above the most stable polymorph in this dataset (eV per formula unit): 0.000
Formation energy without anion corrections (eV/atom): 0.398

a = 5.3631 Å, b = 5.3631 Å, c = 5.3631 Å
α = 90.00°, β = 90.00°, γ = 90.00°
Last column: nearest neighbours and their distance in Å.
Element x y z (fractional)
Bi1 0.5000 0.5000 0.5000  12 I 3.79
Ru1 0.0000 0.0000 0.0000  6 I 2.68
I1 0.0000 0.0000 0.5000  2 Ru 2.68
I2 0.0000 0.5000 0.0000  2 Ru 2.68
I3 0.5000 0.0000 0.0000  2 Ru 2.68

---

No. 11
This record from Alexandria describes Nb3FeSn after structural relaxation. The functional is PBE-GGA.

Total moment (μB per cell): 0.5
DOS(E_F) (states/eV/f.u.): 20.826
Energy above the most stable polymorph in this dataset (eV per formula unit): 9.132
Calculated formation energy (eV per atom): 2.244

a = 4.9936 Å, b = 4.9936 Å, c = 4.9936 Å
α = 90.00°, β = 90.00°, γ = 90.00°
Last column: nearest neighbours and their distance in Å.
Element x y z (fractional)
Fe1 0.5000 0.5000 0.5000  12 Nb 3.53
Nb1 0.0000 0.5000 0.0000  2 Sn 2.50
Nb2 0.5000 0.0000 0.0000  2 Sn 2.50
Nb3 0.0000 0.0000 0.5000  2 Sn 2.50
Sn1 0.0000 0.0000 0.0000  6 Nb 2.50

---

No. 12
This record from Alexandria describes TlAsCl after structural relaxation. The functional is PBE-GGA.

Total moment (μB per cell): 0.6
DOS(E_F) (states/eV/f.u.): 3.579
Energy above the most stable polymorph in this dataset (eV per formula unit): 0.922
Formation energy without anion corrections (eV/atom): 0.201

a = 4.9384 Å, b = 4.9384 Å, c = 4.9384 Å
α = 60.00°, β = 60.00°, γ = 60.00°
Last column: nearest neighbours and their distance in Å.
Element x y z (fractional)
As1 0.0000 0.0000 0.0000  4 Tl 3.02
Tl1 0.7500 0.7500 0.7500  4 Cl 3.02, 4 As 3.02
Cl1 0.5000 0.5000 0.5000  4 Tl 3.02

---

No. 13
This record from Alexandria describes Er2HfScP4 after structural relaxation. The functional is PBE-GGA.

Total moment (μB per cell): 0.0
DOS(E_F) (states/eV/f.u.): 1.404
Calculated formation energy (eV per atom): -1.517

a = 3.8346 Å, b = 6.6403 Å, c = 6.6578 Å
α = 109.30°, β = 90.00°, γ = 90.00°
Last column: nearest neighbours and their distance in Å.
Element x y z (fractional)
P1 0.5000 0.2435 0.2349  2 Hf 2.66, 1 Sc 2.67, 3 Er 2.76-2.78
Er1 0.5000 0.0000 0.5000  6 P 2.76
Hf1 0.0000 0.0000 0.0000  6 P 2.65-2.66
P2 0.0000 0.7472 0.2356  1 Hf 2.65, 2 Sc 2.67, 3 Er 2.76-2.78
P3 0.5000 0.7565 0.7651  2 Hf 2.66, 1 Sc 2.67, 3 Er 2.76-2.78
Er2 0.0000 0.5000 0.5000  6 P 2.78
P4 0.0000 0.2528 0.7644  1 Hf 2.65, 2 Sc 2.67, 3 Er 2.76-2.78
Sc1 0.5000 0.5000 0.0000  6 P 2.67

---

No. 14
This record from Alexandria describes CdTcRh2 after structural relaxation. The functional is PBE-GGA.

Total moment (μB per cell): 0.0
DOS(E_F) (states/eV/f.u.): 6.659
Calculated formation energy (eV per atom): 0.527

a = 7.1504 Å, b = 7.1504 Å, c = 5.7651 Å
α = 51.67°, β = 51.67°, γ = 90.00°
Last column: nearest neighbours and their distance in Å.
Element x y z (fractional)
Rh1 0.3750 0.4196 0.7500  2 Tc 2.41
Tc1 0.2500 0.7500 0.5000  4 Rh 2.41
Cd1 0.0000 0.0000 0.0000  2 Tc 2.77, 4 Rh 2.85
Tc2 0.5000 0.5000 0.0000  4 Rh 2.41
Rh2 0.5804 0.1250 0.2500  2 Tc 2.41
Rh3 0.8750 0.8304 0.7500  2 Tc 2.41
Rh4 0.1696 0.6250 0.2500  2 Tc 2.41
Cd2 0.7500 0.2500 0.5000  2 Tc 2.77, 4 Rh 2.85

---

No. 15
This record from Alexandria describes CaAc2Al6 after structural relaxation. The functional is PBE-GGA.

Total moment (μB per cell): 0.0
DOS(E_F) (states/eV/f.u.): 2.411
Calculated formation energy (eV per atom): -0.280

a = 6.3360 Å, b = 6.4563 Å, c = 6.4563 Å
α = 60.00°, β = 90.00°, γ = 90.00°
Last column: nearest neighbours and their distance in Å.
Element x y z (fractional)
Al1 0.6402 0.1905 0.1905  4 Al 2.77
Al2 0.3598 0.3812 0.8094  4 Al 2.76-2.77
Ac1 0.8517 0.6667 0.6667  12 Al 3.50-3.59, 3 Ca 3.84
Ca1 0.0000 0.0000 0.0000  6 Al 3.12
Al3 0.6402 0.1906 0.6188  4 Al 2.76-2.77
Al4 0.6402 0.6188 0.1906  4 Al 2.76-2.77
Ac2 0.1483 0.3333 0.3333  12 Al 3.50-3.59, 3 Ca 3.84
Al5 0.3598 0.8094 0.3812  4 Al 2.76-2.77
Al6 0.3598 0.8095 0.8095  4 Al 2.77

---

No. 16
This record from Alexandria describes RbAcSb2 after structural relaxation. The functional is PBE-GGA.

Total moment (μB per cell): 0.0
DOS(E_F) (states/eV/f.u.): 5.625
Energy above the most stable polymorph in this dataset (eV per formula unit): 0.981
Formation energy without anion corrections (eV/atom): -0.463

a = 5.8861 Å, b = 5.8861 Å, c = 5.8861 Å
α = 60.00°, β = 60.00°, γ = 60.00°
Last column: nearest neighbours and their distance in Å.
Element x y z (fractional)
Sb1 0.2500 0.2500 0.2500  4 Ac 3.60, 4 Rb 3.60
Rb1 0.5000 0.5000 0.5000  8 Sb 3.60
Sb2 0.7500 0.7500 0.7500  4 Rb 3.60, 4 Ac 3.60
Ac1 0.0000 0.0000 0.0000  8 Sb 3.60

---

No. 17
This record from Alexandria describes MgRh3Pb after structural relaxation. The functional is PBE-GGA.

Total moment (μB per cell): 0.0
DOS(E_F) (states/eV/f.u.): 7.781
Energy above the most stable polymorph in this dataset (eV per formula unit): 0.000
Calculated formation energy (eV per atom): 0.705

a = 4.5654 Å, b = 4.5654 Å, c = 4.5654 Å
α = 90.00°, β = 90.00°, γ = 90.00°
Last column: nearest neighbours and their distance in Å.
Element x y z (fractional)
Rh1 0.5000 0.0000 0.0000  2 Mg 2.28
Pb1 0.5000 0.5000 0.5000  12 Rh 3.23
Rh2 0.0000 0.5000 0.0000  2 Mg 2.28
Mg1 0.0000 0.0000 0.0000  6 Rh 2.28
Rh3 0.0000 0.0000 0.5000  2 Mg 2.28

---

No. 18
This record from Alexandria describes CsIn2PtAu after structural relaxation. The functional is PBE-GGA.

Total moment (μB per cell): 0.0
DOS(E_F) (states/eV/f.u.): 1.206
Calculated formation energy (eV per atom): -0.238

a = 5.1874 Å, b = 5.1874 Å, c = 5.5914 Å
α = 90.00°, β = 90.00°, γ = 90.00°
Last column: nearest neighbours and their distance in Å.
Element x y z (fractional)
Cs1 0.5000 0.5000 0.5000  4 Au 3.67, 8 In 3.81
Au1 0.0000 0.0000 0.5000  2 Pt 2.80
Pt1 0.0000 0.0000 0.0000  4 In 2.59, 2 Au 2.80
In1 0.5000 0.0000 0.0000  2 Pt 2.59
In2 0.0000 0.5000 0.0000  2 Pt 2.59